## Tb3Si4Os2 (PBE)

Data for crystalline Tb3Si4Os2 at its relaxed geometry.

Cell: 4.207 5.752 8.028 Å, 107.37 90.00 111.45°
Fractional positions:
Tb1 0.615 0.230 0.699
Tb2 0.000 0.000 0.000
Tb3 0.385 0.770 0.301
Si1 0.721 0.443 0.079
Si2 0.279 0.557 0.921
Si3 0.900 0.799 0.589
Si4 0.100 0.201 0.411
Os1 0.684 0.368 0.357
Os2 0.316 0.632 0.643

The value obtained for the uncorrected energy is -64.83 eV per formula unit. Its space group is C2/m. For the formation energy without anion corrections, the calculation gives -72.7 kJ per mole of atoms. As for the total magnetic moment: 0.00 μB per formula unit. For the calculated density, the calculation gives 9403 kg/m3. The value obtained for the calculated volume is 19.025 Å³ per atom.